[1]
A relaxed PmBiAsO crystal, computed with GGA-PBE.

Results
- Theoretical density: 7.95 g/cm3
- SG: No. 129
- Crystal system: tetragonal
- DFT total energy: -5.96 eV per atom

abc: 4.2873 4.2873 10.1120
angles: 90.00 90.00 90.00
Closest atoms and distances in Å follow each position.
Fractional positions:
Pm (0.2500, 0.2500, 0.0997)  4 O 2.37
Pm (0.7500, 0.7500, 0.9003)  4 O 2.37
Bi (0.2500, 0.7500, 0.5000)  4 Bi 3.03, 4 As 3.18
Bi (0.7500, 0.2500, 0.5000)  4 Bi 3.03, 4 As 3.18
As (0.2500, 0.2500, 0.7326)  4 Bi 3.18, 4 O 3.45, 4 Pm 3.47
As (0.7500, 0.7500, 0.2674)  4 Bi 3.18, 4 O 3.45, 4 Pm 3.47
O (0.2500, 0.7500, 0.0000)  4 Pm 2.37
O (0.7500, 0.2500, 0.0000)  4 Pm 2.37

[2]
A relaxed PmBiAsO crystal, computed with GGA-PBE.

Results
- Theoretical density: 6.98 g/cm3
- SG: No. 26
- Crystal system: orthorhombic
- DFT total energy: -5.85 eV per atom

abc: 4.0091 8.4693 6.2329
angles: 90.00 90.00 90.00
Closest atoms and distances in Å follow each position.
Fractional positions:
Pm (0.0000, 0.1626, 0.0000)  2 O 2.18
Pm (0.0000, 0.8374, 0.5000)  2 O 2.18
Bi (0.5000, 0.4207, 0.5074)  1 O 2.67, 2 As 2.81
Bi (0.5000, 0.5793, 0.0074)  1 O 2.67, 2 As 2.81
As (0.0000, 0.1877, 0.5006)  2 Bi 2.81, 3 Pm 2.97-3.13
As (0.0000, 0.8123, 0.0006)  2 Bi 2.81, 3 Pm 2.97-3.13
O (0.5000, 0.2640, 0.0000)  2 Pm 2.18
O (0.5000, 0.7360, 0.5000)  2 Pm 2.18

[3]
A relaxed PmBiAsO crystal, computed with GGA-PBE.

Results
- Theoretical density: 7.09 g/cm3
- SG: No. 26
- Crystal system: orthorhombic
- DFT total energy: -5.78 eV per atom

abc: 5.3688 6.1239 6.3351
angles: 90.00 90.00 90.00
Closest atoms and distances in Å follow each position.
Fractional positions:
Pm (0.0000, 0.1940, 0.0000)  2 O 2.20-2.21
Pm (0.0000, 0.8060, 0.5000)  2 O 2.20-2.21
Bi (0.5000, 0.2298, 0.3741)  2 O 2.77, 2 As 2.82-2.91
Bi (0.5000, 0.7702, 0.8741)  2 O 2.77, 2 As 2.82-2.91
As (0.5000, 0.3123, 0.8271)  2 Bi 2.82-2.91, 2 Pm 2.99
As (0.5000, 0.6877, 0.3271)  2 Bi 2.82-2.91, 2 Pm 2.99
O (0.0000, 0.1254, 0.3425)  2 Pm 2.20-2.21
O (0.0000, 0.8746, 0.8425)  2 Pm 2.20-2.21

[4]
A relaxed PmBiAsO crystal, computed with GGA-PBE.

Results
- Theoretical density: 8.07 g/cm3
- SG: No. 129
- Crystal system: tetragonal
- DFT total energy: -5.32 eV per atom

abc: 4.8992 4.8992 7.6245
angles: 90.00 90.00 90.00
Closest atoms and distances in Å follow each position.
Fractional positions:
Pm (0.2500, 0.7500, 0.0000)  4 As 2.88
Pm (0.7500, 0.2500, 0.0000)  4 As 2.88
Bi (0.2500, 0.2500, 0.4283)  4 O 2.51
Bi (0.7500, 0.7500, 0.5717)  4 O 2.51
As (0.2500, 0.2500, 0.8006)  1 Bi 2.84, 4 Pm 2.88
As (0.7500, 0.7500, 0.1994)  1 Bi 2.84, 4 Pm 2.88
O (0.2500, 0.7500, 0.5000)  4 Bi 2.51
O (0.7500, 0.2500, 0.5000)  4 Bi 2.51